DFT (SCAN) results for a PBEsol-optimized structure of NdNiSn.

Unit cell a=7.4277 b=4.5470 c=7.4285 alpha=90.00 beta=90.00 gamma=90.00
Space group Pnma (No. 62)
Inequivalent atoms, fractional coordinates:
1 Nd 0.0236 0.2500 0.1919 [4 per cell]
2 Ni 0.1848 0.7500 0.4189 [4 per cell]
3 Sn 0.1816 0.2500 0.5931 [4 per cell]

Output
uncorrected energy = -32.589 eV per atom
total magnetization = 0.0 Bohr magnetons per cell
E_form = -0.70 eV per atom